A relaxed Y17Mg12 crystal. Source: the Alexandria database, functional GGA-PBE.

Summary:
As for the formation energy from the elements: -0.022 eV per atom. As for the total moment: 0.00 μB per cell. As for the total energy: -129.65 eV/cell. Its symmetry is I-43m, No. 217.

The structure in extended XYZ format:
```
29
Lattice="-6.712 2.654 7.256 -2.153 -9.427 -3.355 9.467 0.159 3.886" Properties=species:S:1:pos:R:3 pbc="T T T"
Y 3.107 -5.603 2.432
Y -1.864 -1.821 5.402
Y -1.048 1.639 5.564
Mg -6.019 -6.011 1.868
Y -4.694 -1.369 3.292
Y 1.682 -5.594 -0.789
Mg 6.362 -5.855 1.043
Mg 0.531 2.268 8.392
Mg -1.518 -2.444 2.130
Y -0.749 -3.281 -1.168
Y 3.562 0.928 4.604
Y -0.434 -5.611 2.073
Y 0.393 -4.311 5.077
Y 3.295 0.055 1.353
Y -2.336 0.924 2.526
Mg -6.846 -3.818 3.794
Y 4.992 -2.862 1.274
Mg -1.256 -7.199 -0.700
Y -3.395 -4.811 0.268
Mg -4.151 0.471 6.037
Mg 1.452 -2.902 1.511
Y 3.212 -2.604 4.345
Mg 6.121 -1.113 3.897
Mg 3.468 1.815 7.780
Y 1.277 -0.755 6.691
Y -3.386 -4.602 3.785
Mg 0.615 -0.684 3.459
Mg 4.253 -7.595 -0.271
Y 0.000 0.000 0.000
```